First-principles (SCAN) data for a PBEsol-optimized structure of Mg4NiAu, as listed in Alexandria via LeMat-Bulk.

Lattice parameters (Å, degrees): 5.3526 5.3526 5.3526 60.00 60.00 60.00
Closest atoms and distances in Å follow each position.
Element x y z (fractional)
Mg 0.1251 0.1251 0.1251  6 Mg 2.67-2.68
Mg 0.1251 0.1251 0.6247  6 Mg 2.67-2.68
Mg 0.1251 0.6247 0.1251  6 Mg 2.67-2.68
Mg 0.6247 0.1251 0.1251  6 Mg 2.67-2.68
Ni 0.5000 0.5000 0.5000  12 Mg 3.14, 4 Au 3.28
Au 0.7500 0.7500 0.7500  12 Mg 3.14, 4 Ni 3.28

For the formation energy, the calculation gives 0.26 eV/atom. Its total energy is -1.2699 Ry per atom. The calculation puts the volume at 108.43 Å³/cell. Its symmetry is F-43m (216).


First-principles (SCAN) data for a PBEsol-optimized structure of MgNi2Au, as listed in Alexandria via LeMat-Bulk.

Lattice parameters (Å, degrees): 2.9953 2.9953 6.0611 90.00 90.00 90.00
Closest atoms and distances in Å follow each position.
Element x y z (fractional)
Mg 0.0000 0.0000 0.0000  5 Ni 2.64-2.69, 4 Au 2.77
Ni 0.0000 0.0000 0.5562  4 Ni 2.39, 4 Au 2.64
Ni 0.5000 0.5000 0.7397  4 Ni 2.39, 4 Mg 2.64
Au 0.5000 0.5000 0.2952  5 Ni 2.64-2.69, 4 Mg 2.77

For the formation energy, the calculation gives -0.15 eV/atom. Its total energy is -1.9676 Ry per atom. The calculation puts the volume at 54.38 Å³/cell. Its symmetry is P4mm (99).


First-principles (SCAN) data for a PBEsol-optimized structure of MgNi2Au, as listed in Alexandria via LeMat-Bulk.

Lattice parameters (Å, degrees): 2.7456 2.7456 25.1758 90.00 90.00 120.00
Closest atoms and distances in Å follow each position.
Element x y z (fractional)
Mg 0.0000 0.0000 0.0000  6 Ni 2.59, 6 Mg 2.75
Mg 0.3333 0.6667 0.6667  6 Ni 2.59, 6 Mg 2.75
Mg 0.6667 0.3333 0.3333  6 Ni 2.59, 6 Mg 2.75
Ni 0.0000 0.0000 0.2518  3 Mg 2.59, 3 Au 2.67, 6 Ni 2.75
Ni 0.0000 0.0000 0.7482  3 Mg 2.59, 3 Au 2.67, 6 Ni 2.75
Ni 0.3333 0.6667 0.4148  3 Mg 2.59, 3 Au 2.67, 6 Ni 2.75
Ni 0.3333 0.6667 0.9185  3 Mg 2.59, 3 Au 2.67, 6 Ni 2.75
Ni 0.6667 0.3333 0.0815  3 Mg 2.59, 3 Au 2.67, 6 Ni 2.75
Ni 0.6667 0.3333 0.5852  3 Mg 2.59, 3 Au 2.67, 6 Ni 2.75
Au 0.0000 0.0000 0.5000  6 Ni 2.67, 6 Au 2.75
Au 0.3333 0.6667 0.1667  6 Ni 2.67, 6 Au 2.75
Au 0.6667 0.3333 0.8333  6 Ni 2.67, 6 Au 2.75

For the formation energy, the calculation gives 0.13 eV/atom. Its total energy is -1.9469 Ry per atom. The calculation puts the volume at 164.36 Å³/cell. Its symmetry is R-3m (166).


What did the second record say?
First-principles (SCAN) data for a PBEsol-optimized structure of MgNi2Au, as listed in Alexandria via LeMat-Bulk.

Lattice parameters (Å, degrees): 2.9953 2.9953 6.0611 90.00 90.00 90.00
Closest atoms and distances in Å follow each position.
Element x y z (fractional)
Mg 0.0000 0.0000 0.0000  5 Ni 2.64-2.69, 4 Au 2.77
Ni 0.0000 0.0000 0.5562  4 Ni 2.39, 4 Au 2.64
Ni 0.5000 0.5000 0.7397  4 Ni 2.39, 4 Mg 2.64
Au 0.5000 0.5000 0.2952  5 Ni 2.64-2.69, 4 Mg 2.77

For the formation energy, the calculation gives -0.15 eV/atom. Its total energy is -1.9676 Ry per atom. The calculation puts the volume at 54.38 Å³/cell. Its symmetry is P4mm (99).